Record 1
# Tc3SnMo

An optimized crystal structure of Tc3SnMo (PBE, the Alexandria database).

Structure (POSCAR):
```
Tc3SnMo
1.0
4.719 0.000 0.000
0.000 4.719 0.000
0.000 0.000 4.719
Tc Sn Mo
3 1 1
Cartesian
0.000 0.000 2.360 Tc
0.000 2.360 0.000 Tc
2.360 0.000 0.000 Tc
0.000 0.000 0.000 Sn
2.360 2.360 2.360 Mo
```

Values from the calculation:
- calculated formation energy (eV/atom) = 2.35
- relative energy among the computed polymorphs (meV per atom) = 866.7
- total moment (μB/f.u.) = 0.00

Record 2
# Tc2SnMo

An optimized crystal structure of Tc2SnMo (PBE, the Alexandria database).

Structure (POSCAR):
```
Tc2SnMo
1.0
4.467 0.000 0.000
0.000 4.467 0.000
0.000 0.000 3.236
Tc Sn Mo
2 1 1
Cartesian
0.000 2.233 0.000 Tc
2.233 0.000 0.000 Tc
0.000 0.000 1.618 Sn
2.233 2.233 1.618 Mo
```

Values from the calculation:
- calculated formation energy (eV/atom) = 0.13
- total moment (μB/f.u.) = 0.00

Record 3
# Tc2SnMo

An optimized crystal structure of Tc2SnMo (PBE, the Alexandria database).

Structure (POSCAR):
```
Tc2SnMo
1.0
-3.661 3.661 2.761
3.661 -3.661 2.761
3.661 3.661 -2.761
Tc Sn Mo
4 2 2
Cartesian
5.491 1.469 -0.690 Tc
1.469 1.830 0.690 Tc
-1.830 2.192 2.070 Tc
2.192 1.830 3.451 Tc
3.661 0.000 1.380 Sn
0.000 0.000 2.761 Sn
0.000 0.000 0.000 Mo
0.000 3.661 1.380 Mo
```

Values from the calculation:
- calculated formation energy (eV/atom) = 0.74
- total moment (μB/f.u.) = 0.00

Record 4
# TcSnMo2

An optimized crystal structure of TcSnMo2 (PBE, the Alexandria database).

Structure (POSCAR):
```
TcSnMo2
1.0
-3.706 3.706 2.726
3.706 -3.706 2.726
3.706 3.706 -2.726
Tc Sn Mo
2 2 4
Cartesian
0.000 0.000 0.000 Tc
0.000 3.706 1.363 Tc
3.706 0.000 1.363 Sn
0.000 0.000 2.726 Sn
1.853 1.499 -0.681 Mo
2.207 -1.853 3.407 Mo
1.853 2.207 2.044 Mo
1.499 5.559 0.681 Mo
```

Values from the calculation:
- calculated formation energy (eV/atom) = 0.71
- total moment (μB/f.u.) = 0.00

Record 5
# TcSnMo

An optimized crystal structure of TcSnMo (PBE, the Alexandria database).

Structure (POSCAR):
```
TcSnMo
1.0
4.504 0.000 0.000
0.000 4.504 0.000
0.000 0.000 5.983
Tc Sn Mo
2 2 2
Cartesian
1.126 3.378 0.000 Tc
3.378 1.126 0.000 Tc
1.126 3.378 2.992 Sn
3.378 1.126 2.992 Sn
1.126 1.126 1.178 Mo
3.378 3.378 4.805 Mo
```

Values from the calculation:
- calculated formation energy (eV/atom) = 0.37
- relative energy among the computed polymorphs (meV per atom) = 255.3
- total moment (μB/f.u.) = 0.00

Record 6
# Tc2SnMo2

An optimized crystal structure of Tc2SnMo2 (PBE, the Alexandria database).

Structure (POSCAR):
```
Tc2SnMo2
1.0
7.572 0.000 0.000
0.000 7.572 0.000
0.000 0.000 2.967
Tc Sn Mo
4 2 4
Cartesian
1.011 2.775 0.000 Tc
2.775 6.561 0.000 Tc
4.797 1.011 0.000 Tc
6.561 4.797 0.000 Tc
0.000 0.000 0.000 Sn
3.786 3.786 0.000 Sn
1.181 4.968 1.484 Mo
2.605 1.181 1.484 Mo
4.968 6.391 1.484 Mo
6.391 2.605 1.484 Mo
```

Values from the calculation:
- calculated formation energy (eV/atom) = 0.26
- total moment (μB/f.u.) = 0.00

Record 7
# TcSnMo

An optimized crystal structure of TcSnMo (PBE, the Alexandria database).

Structure (POSCAR):
```
TcSnMo
1.0
5.191 -1.600 0.000
5.191 1.600 0.000
-1.970 0.000 6.054
Tc Sn Mo
2 2 2
Cartesian
1.116 0.000 2.044 Tc
7.296 0.000 4.011 Tc
5.191 0.000 0.000 Sn
4.206 0.000 3.027 Sn
0.199 0.000 5.063 Mo
8.212 0.000 0.991 Mo
```

Values from the calculation:
- calculated formation energy (eV/atom) = 0.12
- relative energy among the computed polymorphs (meV per atom) = 11.7
- total moment (μB/f.u.) = 0.00

Record 8
# Tl2TcSnMo

An optimized crystal structure of Tl2TcSnMo (PBE, the Alexandria database).

Structure (POSCAR):
```
Tl2TcSnMo
1.0
5.356 0.000 0.000
0.000 5.356 0.000
0.000 0.000 4.729
Tl Tc Sn Mo
2 1 1 1
Cartesian
0.000 2.678 0.000 Tl
2.678 0.000 0.000 Tl
0.000 0.000 0.000 Tc
2.678 2.678 2.364 Sn
0.000 0.000 2.364 Mo
```

Values from the calculation:
- calculated formation energy (eV/atom) = 0.97
- total moment (μB/f.u.) = 1.49

Record 9
# UTcSnMo

An optimized crystal structure of UTcSnMo (PBE, the Alexandria database).

Structure (POSCAR):
```
UTcSnMo
1.0
0.000 3.342 3.342
3.342 0.000 3.342
3.342 3.342 0.000
U Tc Sn Mo
1 1 1 1
Cartesian
0.000 0.000 0.000 U
5.013 5.013 5.013 Tc
3.342 3.342 3.342 Sn
1.671 1.671 1.671 Mo
```

Values from the calculation:
- calculated formation energy (eV/atom) = 0.08
- total moment (μB/f.u.) = 0.70

Record 10
# TcSnMoW

An optimized crystal structure of TcSnMoW (PBE, the Alexandria database).

Structure (POSCAR):
```
TcSnMoW
1.0
0.000 3.211 3.211
3.211 0.000 3.211
3.211 3.211 0.000
Tc Sn Mo W
1 1 1 1
Cartesian
0.000 0.000 0.000 Tc
1.606 1.606 1.606 Sn
3.211 3.211 3.211 Mo
4.817 4.817 4.817 W
```

Values from the calculation:
- calculated formation energy (eV/atom) = 0.18
- total moment (μB/f.u.) = 0.00

Record 11
# ZrTc2SnMo

An optimized crystal structure of ZrTc2SnMo (PBE, the Alexandria database).

Structure (POSCAR):
```
ZrTc2SnMo
1.0
4.803 0.000 0.000
0.000 4.803 0.000
0.000 0.000 4.883
Zr Tc Sn Mo
1 2 1 1
Cartesian
0.000 0.000 0.000 Zr
0.000 2.402 2.442 Tc
2.402 0.000 2.442 Tc
2.402 2.402 2.442 Sn
2.402 2.402 0.000 Mo
```

Values from the calculation:
- calculated formation energy (eV/atom) = 1.67
- total moment (μB/f.u.) = 2.24

Record 12
# SnTe3Mo

An optimized crystal structure of SnTe3Mo (PBE, the Alexandria database).

Structure (POSCAR):
```
SnTe3Mo
1.0
5.353 0.000 0.000
0.000 5.353 0.000
0.000 0.000 5.353
Sn Te Mo
1 3 1
Cartesian
0.000 0.000 0.000 Sn
0.000 2.676 2.676 Te
2.676 0.000 2.676 Te
2.676 2.676 0.000 Te
2.676 2.676 2.676 Mo
```

Values from the calculation:
- raw formation energy (eV/atom) = 0.401
- relative energy among the computed polymorphs (meV per atom) = 0.0
- total moment (μB/f.u.) = 1.65

Record 13
# SnTeMo2

An optimized crystal structure of SnTeMo2 (PBE, the Alexandria database).

Structure (POSCAR):
```
SnTeMo2
1.0
0.000 3.325 3.325
3.325 0.000 3.325
3.325 3.325 0.000
Sn Te Mo
1 1 2
Cartesian
0.000 0.000 0.000 Sn
3.325 3.325 3.325 Te
1.662 1.662 1.662 Mo
4.987 4.987 4.987 Mo
```

Values from the calculation:
- raw formation energy (eV/atom) = 0.366
- relative energy among the computed polymorphs (meV per atom) = 0.0
- total moment (μB/f.u.) = 0.00

Record 14
# Sn3TeMo

An optimized crystal structure of Sn3TeMo (PBE, the Alexandria database).

Structure (POSCAR):
```
Sn3TeMo
1.0
5.768 0.000 0.000
0.000 5.768 0.000
0.000 0.000 5.768
Sn Te Mo
3 1 1
Cartesian
0.000 0.000 2.884 Sn
0.000 2.884 0.000 Sn
2.884 0.000 0.000 Sn
0.000 0.000 0.000 Te
2.884 2.884 2.884 Mo
```

Values from the calculation:
- raw formation energy (eV/atom) = 1.425
- relative energy among the computed polymorphs (meV per atom) = 1090.2
- total moment (μB/f.u.) = 4.38

Record 15
# Sn2Te2Mo

An optimized crystal structure of Sn2Te2Mo (PBE, the Alexandria database).

Structure (POSCAR):
```
Sn2Te2Mo
1.0
7.541 0.000 0.000
0.000 7.541 0.000
0.000 0.000 4.707
Sn Te Mo
4 4 2
Cartesian
1.080 2.690 0.000 Sn
2.690 6.461 0.000 Sn
4.851 1.080 0.000 Sn
6.461 4.851 0.000 Sn
1.414 5.185 2.353 Te
2.356 1.414 2.353 Te
5.185 6.127 2.353 Te
6.127 2.356 2.353 Te
0.000 0.000 0.000 Mo
3.771 3.771 0.000 Mo
```

Values from the calculation:
- raw formation energy (eV/atom) = 0.541
- relative energy among the computed polymorphs (meV per atom) = 0.0
- total moment (μB/f.u.) = 2.04

Record 16
# SnTe3Mo

An optimized crystal structure of SnTe3Mo (PBE, the Alexandria database).

Structure (POSCAR):
```
SnTe3Mo
1.0
5.658 0.000 0.000
0.000 5.658 0.000
0.000 0.000 5.658
Sn Te Mo
1 3 1
Cartesian
0.000 0.000 0.000 Sn
0.000 0.000 2.829 Te
0.000 2.829 0.000 Te
2.829 0.000 0.000 Te
2.829 2.829 2.829 Mo
```

Values from the calculation:
- raw formation energy (eV/atom) = 1.162
- relative energy among the computed polymorphs (meV per atom) = 761.7
- total moment (μB/f.u.) = 3.73

Record 17
# Sn2Te2Mo

An optimized crystal structure of Sn2Te2Mo (PBE, the Alexandria database).

Structure (POSCAR):
```
Sn2Te2Mo
1.0
-1.991 1.991 9.348
1.991 -1.991 9.348
1.991 1.991 -9.348
Sn Te Mo
2 2 1
Cartesian
0.000 0.000 1.461 Sn
0.000 0.000 17.235 Sn
1.991 0.000 4.674 Te
0.000 1.991 4.674 Te
0.000 0.000 9.348 Mo
```

Values from the calculation:
- raw formation energy (eV/atom) = 0.752
- relative energy among the computed polymorphs (meV per atom) = 210.2
- total moment (μB/f.u.) = 1.64

Record 18
# SnTeMo

An optimized crystal structure of SnTeMo (PBE, the Alexandria database).

Structure (POSCAR):
```
SnTeMo
1.0
5.392 0.000 0.000
-2.440 4.809 0.000
-1.462 -2.388 5.048
Sn Te Mo
2 2 2
Cartesian
0.021 1.645 0.001 Sn
1.469 0.777 5.047 Sn
-1.210 2.416 3.417 Te
2.700 0.006 1.631 Te
0.004 0.009 2.520 Mo
1.486 2.413 2.528 Mo
```

Values from the calculation:
- raw formation energy (eV/atom) = 0.115
- total moment (μB/f.u.) = 0.00

Record 19
# SnTeMo2

An optimized crystal structure of SnTeMo2 (PBE, the Alexandria database).

Structure (POSCAR):
```
SnTeMo2
1.0
-3.795 3.795 3.019
3.795 -3.795 3.019
3.795 3.795 -3.019
Sn Te Mo
2 2 4
Cartesian
0.000 0.000 0.000 Sn
0.000 3.795 1.510 Sn
3.795 0.000 1.510 Te
0.000 0.000 3.019 Te
1.897 -1.660 2.264 Mo
2.135 1.897 0.755 Mo
1.897 5.454 -0.755 Mo
1.660 1.897 3.774 Mo
```

Values from the calculation:
- raw formation energy (eV/atom) = 0.992
- relative energy among the computed polymorphs (meV per atom) = 625.5
- total moment (μB/f.u.) = 2.65

Record 20
# Sn3TeMo

An optimized crystal structure of Sn3TeMo (PBE, the Alexandria database).

Structure (POSCAR):
```
Sn3TeMo
1.0
5.319 0.000 0.000
0.000 5.319 0.000
0.000 0.000 5.319
Sn Te Mo
3 1 1
Cartesian
0.000 0.000 2.659 Sn
0.000 2.659 0.000 Sn
2.659 0.000 0.000 Sn
2.659 2.659 2.659 Te
0.000 0.000 0.000 Mo
```

Values from the calculation:
- raw formation energy (eV/atom) = 0.335
- relative energy among the computed polymorphs (meV per atom) = 0.0
- total moment (μB/f.u.) = 1.89

Number 1: volume 105.1 Å³ per cell. Number 2: volume 64.6 Å³ per cell. Number 3: volume 148.0 Å³ per cell. Number 4: volume 149.7 Å³ per cell. Number 5: volume 121.4 Å³ per cell. Number 6: volume 170.1 Å³ per cell. Number 7: volume 100.5 Å³ per cell. Number 8: volume 135.7 Å³ per cell. Number 9: volume 74.6 Å³ per cell. Number 10: volume 66.2 Å³ per cell. Number 11: volume 112.7 Å³ per cell. Number 12: volume 153.4 Å³ per cell. Number 13: volume 73.5 Å³ per cell. Number 14: volume 191.9 Å³ per cell. Number 15: volume 267.7 Å³ per cell. Number 16: volume 181.1 Å³ per cell. Number 17: volume 148.2 Å³ per cell. Number 18: volume 130.9 Å³ per cell. Number 19: volume 173.9 Å³ per cell. Number 20: volume 150.5 Å³ per cell.